Record 1
Here is crystalline AcTm2Mg at its relaxed geometry from Alexandria. Energies are from PBE-GGA.

a = 7.996 Å, b = 7.996 Å, c = 7.996 Å
α = 90.00°, β = 90.00°, γ = 90.00°
Space group Fm-3m (No. 225)
Unique sites:
Ac1 0.000 0.000 0.000 (multiplicity 4)
Tm1 0.250 0.250 0.250 (multiplicity 8)
Mg1 0.000 0.000 0.500 (multiplicity 4)

Results
ΔE_f = 176 meV per atom
Offset from the most stable computed form = 0.64 eV/f.u.
Spin magnetization = 0.150 μB/atom

Record 2
Here is crystalline Ac4TmMg at its relaxed geometry from Alexandria. Energies are from PBE-GGA.

a = 3.963 Å, b = 3.963 Å, c = 14.910 Å
α = 90.00°, β = 90.00°, γ = 90.00°
Space group P4/mmm (No. 123)
Unique sites:
Ac1 0.000 0.000 0.149 (multiplicity 2)
Ac2 0.500 0.500 0.336 (multiplicity 2)
Tm1 0.000 0.000 0.500 (multiplicity 1)
Mg1 0.500 0.500 0.000 (multiplicity 1)

Results
ΔE_f = 10 meV per atom
Spin magnetization = 0.000 μB/atom

Record 3
Here is crystalline AcTm2Mg at its relaxed geometry from Alexandria. Energies are from PBE-GGA.

a = 4.980 Å, b = 4.980 Å, c = 5.200 Å
α = 90.00°, β = 90.00°, γ = 90.00°
Space group P4/mmm (No. 123)
Unique sites:
Ac1 0.000 0.000 0.000 (multiplicity 1)
Tm1 0.000 0.500 0.500 (multiplicity 2)
Mg1 0.500 0.500 0.000 (multiplicity 1)

Results
ΔE_f = 78 meV per atom
Offset from the most stable computed form = 0.25 eV/f.u.
Spin magnetization = 0.000 μB/atom

Record 4
Here is crystalline AcTm2Mg at its relaxed geometry from Alexandria. Energies are from PBE-GGA.

a = 3.770 Å, b = 3.770 Å, c = 8.946 Å
α = 90.00°, β = 90.00°, γ = 90.00°
Space group P4/mmm (No. 123)
Unique sites:
Ac1 0.000 0.000 0.000 (multiplicity 1)
Tm1 0.500 0.500 0.292 (multiplicity 2)
Mg1 0.000 0.000 0.500 (multiplicity 1)

Results
ΔE_f = 17 meV per atom
Offset from the most stable computed form = 0.00 eV/f.u.
Spin magnetization = 0.000 μB/atom

Record 5
Here is crystalline Ac2MgV at its relaxed geometry from Alexandria. Energies are from PBE-GGA.

a = 3.6318 Å, b = 3.6318 Å, c = 35.7772 Å
α = 90.00°, β = 90.00°, γ = 120.00°
Space group R-3m (No. 166, hexagonal axes)
Unique sites:
Ac1 0.0000 0.0000 0.0846 (multiplicity 6)
Mg1 0.0000 0.0000 0.5000 (multiplicity 3)
V1 0.0000 0.0000 0.0000 (multiplicity 3)

Results
ΔE_f = 779 meV per atom
Spin magnetization = 0.928 μB/atom

Record 6
Here is crystalline Ac4YMg at its relaxed geometry from Alexandria. Energies are from PBE-GGA.

a = 3.972 Å, b = 3.972 Å, c = 14.998 Å
α = 90.00°, β = 90.00°, γ = 90.00°
Space group P4/mmm (No. 123)
Unique sites:
Ac1 0.000 0.000 0.147 (multiplicity 2)
Ac2 0.500 0.500 0.332 (multiplicity 2)
Y1 0.000 0.000 0.500 (multiplicity 1)
Mg1 0.500 0.500 0.000 (multiplicity 1)

Results
ΔE_f = 0 meV per atom
Spin magnetization = 0.000 μB/atom

Record 7
Here is crystalline AcY2Mg3 at its relaxed geometry from Alexandria. Energies are from PBE-GGA.

a = 3.900 Å, b = 3.900 Å, c = 11.763 Å
α = 90.00°, β = 90.00°, γ = 90.00°
Space group P4/mmm (No. 123)
Unique sites:
Ac1 0.000 0.000 0.000 (multiplicity 1)
Y1 0.000 0.000 0.344 (multiplicity 2)
Mg1 0.500 0.500 0.192 (multiplicity 2)
Mg2 0.500 0.500 0.500 (multiplicity 1)

Results
ΔE_f = -87 meV per atom
Spin magnetization = 0.000 μB/atom

Record 8
Here is crystalline Ac5YMg4 at its relaxed geometry from Alexandria. Energies are from PBE-GGA.

a = 4.088 Å, b = 4.088 Å, c = 21.396 Å
α = 90.00°, β = 90.00°, γ = 90.00°
Space group P4/mmm (No. 123)
Unique sites:
Ac1 0.000 0.000 0.000 (multiplicity 1)
Ac2 0.000 0.000 0.194 (multiplicity 2)
Ac3 0.000 0.000 0.387 (multiplicity 2)
Y1 0.500 0.500 0.500 (multiplicity 1)
Mg1 0.500 0.500 0.097 (multiplicity 2)
Mg2 0.500 0.500 0.292 (multiplicity 2)

Results
ΔE_f = -50 meV per atom
Spin magnetization = 0.000 μB/atom

Record 9
Here is crystalline Ac2Y3Mg2 at its relaxed geometry from Alexandria. Energies are from PBE-GGA.

a = 3.836 Å, b = 32.815 Å, c = 3.777 Å
α = 90.00°, β = 90.00°, γ = 90.00°
Space group Cmmm (No. 65)
Unique sites:
Ac1 0.000 0.198 0.000 (multiplicity 4)
Y1 0.000 0.071 0.000 (multiplicity 4)
Y2 0.000 0.500 0.500 (multiplicity 2)
Mg1 0.000 0.372 0.500 (multiplicity 4)

Results
ΔE_f = 34 meV per atom
Spin magnetization = 0.006 μB/atom

Record 10
Here is crystalline Ac2YMg16 at its relaxed geometry from Alexandria. Energies are from PBE-GGA.

a = 10.5634 Å, b = 10.5634 Å, c = 15.4838 Å
α = 90.00°, β = 90.00°, γ = 120.00°
Space group R3m (No. 160, hexagonal axes)
Unique sites:
Ac1 0.0000 0.0000 0.0000 (multiplicity 3)
Ac2 0.0000 0.0000 0.3240 (multiplicity 3)
Y1 0.0000 0.0000 0.5662 (multiplicity 3)
Mg1 0.0000 0.0000 0.7707 (multiplicity 3)
Mg2 0.0008 0.2970 0.6587 (multiplicity 18)
Mg3 0.0022 0.5011 0.8091 (multiplicity 9)
Mg4 0.1685 0.3371 0.4919 (multiplicity 9)
Mg5 0.1705 0.3410 0.8396 (multiplicity 9)

Results
ΔE_f = -68 meV per atom
Spin magnetization = 0.000 μB/atom

Record 11
Here is crystalline AcY2Mg2 at its relaxed geometry from Alexandria. Energies are from PBE-GGA.

a = 3.971 Å, b = 21.421 Å, c = 3.782 Å
α = 90.00°, β = 90.00°, γ = 90.00°
Space group Cmmm (No. 65)
Unique sites:
Ac1 0.000 0.000 0.000 (multiplicity 2)
Y1 0.000 0.185 0.000 (multiplicity 4)
Mg1 0.000 0.396 0.500 (multiplicity 4)

Results
ΔE_f = 71 meV per atom
Spin magnetization = 0.000 μB/atom

Record 12
Here is crystalline AcY2Mg at its relaxed geometry from Alexandria. Energies are from PBE-GGA.

a = 5.050 Å, b = 5.050 Å, c = 5.225 Å
α = 90.00°, β = 90.00°, γ = 90.00°
Space group P4/mmm (No. 123)
Unique sites:
Ac1 0.000 0.000 0.000 (multiplicity 1)
Y1 0.000 0.500 0.500 (multiplicity 2)
Mg1 0.500 0.500 0.000 (multiplicity 1)

Results
ΔE_f = 60 meV per atom
Offset from the most stable computed form = 0.32 eV/f.u.
Spin magnetization = 0.006 μB/atom

Record 13
Here is crystalline AcY2Mg at its relaxed geometry from Alexandria. Energies are from PBE-GGA.

a = 3.813 Å, b = 3.813 Å, c = 9.033 Å
α = 90.00°, β = 90.00°, γ = 90.00°
Space group P4/mmm (No. 123)
Unique sites:
Ac1 0.000 0.000 0.000 (multiplicity 1)
Y1 0.500 0.500 0.292 (multiplicity 2)
Mg1 0.000 0.000 0.500 (multiplicity 1)

Results
ΔE_f = -21 meV per atom
Offset from the most stable computed form = 0.00 eV/f.u.
Spin magnetization = 0.000 μB/atom

Record 14
Here is crystalline AcY2Mg at its relaxed geometry from Alexandria. Energies are from PBE-GGA.

a = 3.5731 Å, b = 3.5731 Å, c = 37.1364 Å
α = 90.00°, β = 90.00°, γ = 120.00°
Space group R-3m (No. 166, hexagonal axes)
Unique sites:
Ac1 0.0000 0.0000 0.0000 (multiplicity 3)
Y1 0.0000 0.0000 0.0965 (multiplicity 6)
Mg1 0.0000 0.0000 0.5000 (multiplicity 3)

Results
ΔE_f = 219 meV per atom
Offset from the most stable computed form = 0.96 eV/f.u.
Spin magnetization = 0.001 μB/atom

Record 15
Here is crystalline Ac14YMg at its relaxed geometry from Alexandria. Energies are from PBE-GGA.

a = 11.160 Å, b = 11.088 Å, c = 11.084 Å
α = 90.00°, β = 90.00°, γ = 90.00°
Space group Amm2 (No. 38)
Unique sites:
Ac1 0.000 0.000 0.000 (multiplicity 2)
Ac2 0.000 0.000 0.500 (multiplicity 2)
Ac3 0.000 0.249 0.250 (multiplicity 4)
Ac4 0.255 0.000 0.750 (multiplicity 4)
Ac5 0.256 0.250 0.000 (multiplicity 8)
Ac6 0.257 0.000 0.250 (multiplicity 4)
Ac7 0.500 0.249 0.750 (multiplicity 4)
Y1 0.500 0.000 0.500 (multiplicity 2)
Mg1 0.500 0.000 0.000 (multiplicity 2)

Results
ΔE_f = 17 meV per atom
Spin magnetization = 0.000 μB/atom

Record 16
Here is crystalline AcY3Mg8 at its relaxed geometry from Alexandria. Energies are from PBE-GGA.

a = 6.1405 Å, b = 6.1405 Å, c = 9.9448 Å
α = 90.00°, β = 90.00°, γ = 120.00°
Space group P3m1 (No. 156)
Unique sites:
Ac1 0.0000 0.0000 0.0000 (multiplicity 1)
Y1 0.0000 0.0000 0.3778 (multiplicity 1)
Y2 0.6667 0.3333 0.4945 (multiplicity 1)
Y3 0.6667 0.3333 0.8600 (multiplicity 1)
Mg1 0.1638 0.3275 0.6785 (multiplicity 3)
Mg2 0.3333 0.6667 0.4332 (multiplicity 1)
Mg3 0.3333 0.6667 0.9322 (multiplicity 1)
Mg4 0.5044 0.0088 0.1894 (multiplicity 3)

Results
ΔE_f = -90 meV per atom
Spin magnetization = 0.000 μB/atom

Record 17
Here is crystalline Ac2YMg9 at its relaxed geometry from Alexandria. Energies are from PBE-GGA.

a = 6.2033 Å, b = 6.2033 Å, c = 30.0883 Å
α = 90.00°, β = 90.00°, γ = 120.00°
Space group R-3m (No. 166, hexagonal axes)
Unique sites:
Ac1 0.0000 0.0000 0.1410 (multiplicity 6)
Y1 0.0000 0.0000 0.0000 (multiplicity 3)
Mg1 0.0000 0.0000 0.3339 (multiplicity 6)
Mg2 0.0000 0.0000 0.5000 (multiplicity 3)
Mg3 0.0020 0.5010 0.9195 (multiplicity 18)

Results
ΔE_f = -48 meV per atom
Spin magnetization = 0.000 μB/atom

Record 18
Here is crystalline AcY2Mg at its relaxed geometry from Alexandria. Energies are from PBE-GGA.

a = 8.083 Å, b = 8.083 Å, c = 8.083 Å
α = 90.00°, β = 90.00°, γ = 90.00°
Space group Fm-3m (No. 225)
Unique sites:
Ac1 0.000 0.000 0.000 (multiplicity 4)
Y1 0.250 0.250 0.250 (multiplicity 8)
Mg1 0.000 0.000 0.500 (multiplicity 4)

Results
ΔE_f = 136 meV per atom
Offset from the most stable computed form = 0.63 eV/f.u.
Spin magnetization = 0.007 μB/atom

Record 19
Here is crystalline Ac2YMg6 at its relaxed geometry from Alexandria. Energies are from PBE-GGA.

a = 9.2865 Å, b = 9.2865 Å, c = 3.5919 Å
α = 90.00°, β = 90.00°, γ = 120.00°
Space group P6/mmm (No. 191)
Unique sites:
Ac1 0.3333 0.6667 0.0000 (multiplicity 2)
Y1 0.0000 0.0000 0.0000 (multiplicity 1)
Mg1 0.0000 0.3234 0.5000 (multiplicity 6)

Results
ΔE_f = -56 meV per atom
Spin magnetization = 0.000 μB/atom

Record 20
Here is crystalline Ac3Y2Mg2 at its relaxed geometry from Alexandria. Energies are from PBE-GGA.

a = 5.519 Å, b = 24.560 Å, c = 3.735 Å
α = 90.00°, β = 90.00°, γ = 90.00°
Space group Cmmm (No. 65)
Unique sites:
Ac1 0.000 0.000 0.000 (multiplicity 2)
Ac2 0.000 0.151 0.000 (multiplicity 4)
Y1 0.000 0.286 0.500 (multiplicity 4)
Mg1 0.000 0.429 0.500 (multiplicity 4)

Results
ΔE_f = 73 meV per atom
Spin magnetization = 0.000 μB/atom